# 1
The following is a DFT calculation (PBE-GGA) of a geometry-optimized LaZr4Ag structure.

Summary:
As for the space-group type: F-43m (216). The final energy comes out at -6.6475 eV per atom. The value obtained for the density of states at the Fermi level is 1.494 states/eV per atom.

Cell and atoms, written as CIF:
```
data_LaZr4Ag
_cell_length_a 5.972
_cell_length_b 5.972
_cell_length_c 5.972
_cell_angle_alpha 60.00
_cell_angle_beta 60.00
_cell_angle_gamma 60.00
_symmetry_space_group_name_H-M 'P 1'
_symmetry_Int_Tables_number 1
loop_
_symmetry_equiv_pos_as_xyz
'x,y,z'
loop_
_atom_site_label
_atom_site_fract_x
_atom_site_fract_y
_atom_site_fract_z
La1 0.000 0.000 0.000
Zr1 0.122 0.626 0.626
Zr2 0.626 0.122 0.626
Zr3 0.626 0.626 0.122
Zr4 0.626 0.626 0.626
Ag1 0.250 0.250 0.250
```

# 2
The following is a DFT calculation (PBE-GGA) of a geometry-optimized LaZrAg2 structure.

Summary:
As for the space-group type: P4mm (99). The final energy comes out at -4.8295 eV per atom. The value obtained for the density of states at the Fermi level is 0.606 states/eV per atom. The calculation puts the offset from the most stable computed form at 3.78 kJ per mole of atoms.

Cell and atoms, written as CIF:
```
data_LaZrAg2
_cell_length_a 3.594
_cell_length_b 3.594
_cell_length_c 7.390
_cell_angle_alpha 90.00
_cell_angle_beta 90.00
_cell_angle_gamma 90.00
_symmetry_space_group_name_H-M 'P 1'
_symmetry_Int_Tables_number 1
loop_
_symmetry_equiv_pos_as_xyz
'x,y,z'
loop_
_atom_site_label
_atom_site_fract_x
_atom_site_fract_y
_atom_site_fract_z
La1 0.000 0.000 0.000
Zr1 0.500 0.500 0.313
Ag1 0.000 0.000 0.522
Ag2 0.500 0.500 0.721
```

# 3
The following is a DFT calculation (PBE-GGA) of a geometry-optimized La2ZrAg structure.

Summary:
As for the space-group type: C2/m (12). The final energy comes out at -5.1548 eV per atom. The value obtained for the density of states at the Fermi level is 1.120 states/eV per atom. The calculation puts the offset from the most stable computed form at 17.10 kJ per mole of atoms.

Cell and atoms, written as CIF:
```
data_La2ZrAg
_cell_length_a 5.861
_cell_length_b 5.861
_cell_length_c 5.831
_cell_angle_alpha 104.48
_cell_angle_beta 104.48
_cell_angle_gamma 34.48
_symmetry_space_group_name_H-M 'P 1'
_symmetry_Int_Tables_number 1
loop_
_symmetry_equiv_pos_as_xyz
'x,y,z'
loop_
_atom_site_label
_atom_site_fract_x
_atom_site_fract_y
_atom_site_fract_z
La1 0.241 0.241 0.234
La2 0.759 0.759 0.766
Zr1 0.000 0.000 0.500
Ag1 0.500 0.500 0.000
```

# 4
The following is a DFT calculation (PBE-GGA) of a geometry-optimized LaZr2Ag structure.

Summary:
As for the space-group type: Cm (8). The final energy comes out at -6.0917 eV per atom. The value obtained for the density of states at the Fermi level is 1.230 states/eV per atom. The calculation puts the offset from the most stable computed form at 15.78 kJ per mole of atoms.

Cell and atoms, written as CIF:
```
data_LaZr2Ag
_cell_length_a 5.680
_cell_length_b 5.680
_cell_length_c 5.743
_cell_angle_alpha 101.72
_cell_angle_beta 101.72
_cell_angle_gamma 33.32
_symmetry_space_group_name_H-M 'P 1'
_symmetry_Int_Tables_number 1
loop_
_symmetry_equiv_pos_as_xyz
'x,y,z'
loop_
_atom_site_label
_atom_site_fract_x
_atom_site_fract_y
_atom_site_fract_z
La1 0.000 0.000 0.000
Zr1 0.524 0.524 0.507
Zr2 0.780 0.780 0.352
Ag1 0.247 0.247 0.793
```